No. 1
Material: TmSc
Method: DFT, PBE-GGA
State: relaxed

The space group is P2_1/m (No. 11) and the conventional cell measures 3.3456, 5.1978 and 6.4903 Å, with angles of 90.00, 104.88 and 90.00 degrees. The asymmetric unit holds Tm at (0.1702, 0.2500, 0.3416) and Sc at (0.4381, 0.2500, 0.8747).

The calculation puts the calculated volume at 27.3 Å³ per atom. As for the excess energy over the best structure of this formula in the dataset: 0.020 eV/atom. The total moment is 0.00 μB per cell. For the formation energy, the calculation gives 0.04 eV per atom.



No. 2
Material: Tm5Sc
Method: DFT, PBE-GGA
State: relaxed

The space group is Cmmm (No. 65) and the conventional cell measures 5.5280, 17.3921 and 3.6696 Å, with angles of 90.00, 90.00 and 90.00 degrees. The asymmetric unit holds Tm at (0.0000, 0.0000, 0.0000), Tm at (0.0000, 0.1820, 0.5000), Tm at (0.0000, 0.3540, 0.0000) and Sc at (0.0000, 0.5000, 0.5000).

The calculation puts the calculated volume at 29.4 Å³ per atom. The total moment is 0.01 μB per cell. For the formation energy, the calculation gives 0.09 eV per atom.



No. 3
Material: Tm7Sc3
Method: DFT, PBE-GGA
State: relaxed

The space group is C2/m (No. 12) and the conventional cell measures 17.4461, 4.8246 and 6.8490 Å, with angles of 90.00, 101.55 and 90.00 degrees. The asymmetric unit holds Tm at (0.0000, 0.0000, 0.0000), Tm at (0.0994, 0.5000, 0.3002), Tm at (0.1015, 0.5000, 0.8020), Tm at (0.2004, 0.0000, 0.6025), Sc at (0.0000, 0.0000, 0.5000) and Sc at (0.2016, 0.0000, 0.0996).

The calculation puts the calculated volume at 28.2 Å³ per atom. As for the excess energy over the best structure of this formula in the dataset: 0.000 eV/atom. The total moment is 0.00 μB per cell. For the formation energy, the calculation gives 0.05 eV per atom.



No. 4
Material: TmSc2
Method: DFT, PBE-GGA
State: relaxed

The space group is Cmcm (No. 63) and the conventional cell measures 3.3960, 17.6231 and 5.2856 Å, with angles of 90.00, 90.00 and 90.00 degrees. The asymmetric unit holds Tm at (0.0000, 0.1112, 0.2500), Sc at (0.0000, 0.2217, 0.7500) and Sc at (0.0000, 0.4439, 0.2500).

The calculation puts the calculated volume at 26.4 Å³ per atom. As for the excess energy over the best structure of this formula in the dataset: 0.001 eV/atom. The total moment is 0.00 μB per cell. For the formation energy, the calculation gives 0.01 eV per atom.



No. 5
Material: Tm4Sc5
Method: DFT, PBE-GGA
State: relaxed

The space group is I4/mmm (No. 139) and the conventional cell measures 10.0714, 10.0714 and 4.7677 Å, with angles of 90.00, 90.00 and 90.00 degrees. The asymmetric unit holds Tm at (0.0000, 0.3271, 0.0000), Sc at (0.0000, 0.0000, 0.0000) and Sc at (0.1640, 0.1640, 0.5000).

The calculation puts the calculated volume at 26.9 Å³ per atom. As for the excess energy over the best structure of this formula in the dataset: 0.000 eV/atom. The total moment is 0.00 μB per cell. For the formation energy, the calculation gives 0.05 eV per atom.



No. 6
Material: Tm2Sc5
Method: DFT, PBE-GGA
State: relaxed

The space group is C2/m (No. 12) and the conventional cell measures 10.4945, 4.6980 and 7.4581 Å, with angles of 90.00, 98.22 and 90.00 degrees. The asymmetric unit holds Tm at (0.0719, 0.0000, 0.2174), Sc at (0.0000, 0.5000, 0.5000), Sc at (0.1444, 0.5000, 0.9290) and Sc at (0.2138, 0.0000, 0.6429).

The calculation puts the calculated volume at 26.0 Å³ per atom. As for the excess energy over the best structure of this formula in the dataset: 0.000 eV/atom. The total moment is 0.00 μB per cell. For the formation energy, the calculation gives 0.05 eV per atom.



No. 7
Material: Tm5Sc
Method: DFT, PBE-GGA
State: relaxed

The space group is C2/m (No. 12) and the conventional cell measures 10.8985, 4.8806 and 6.9048 Å, with angles of 90.00, 108.43 and 90.00 degrees. The asymmetric unit holds Tm at (0.0000, 0.0000, 0.0000), Tm at (0.1643, 0.5000, 0.8304), Tm at (0.1673, 0.5000, 0.3352) and Sc at (0.0000, 0.0000, 0.5000).

The calculation puts the calculated volume at 29.0 Å³ per atom. The total moment is 0.00 μB per cell. For the formation energy, the calculation gives 0.04 eV per atom.



No. 8
Material: Tm7Sc3
Method: DFT, PBE-GGA
State: relaxed

The space group is P6_3mc (No. 186) and the conventional cell measures 10.4495, 10.4495 and 6.1794 Å, with angles of 90.00, 90.00 and 120.00 degrees. The asymmetric unit holds Tm at (0.0588, 0.5294, 0.0000), Tm at (0.1205, 0.2410, 0.8309), Tm at (0.3333, 0.6667, 0.6916) and Sc at (0.2106, 0.4212, 0.3441).

The calculation puts the calculated volume at 29.2 Å³ per atom. As for the excess energy over the best structure of this formula in the dataset: 0.158 eV/atom. The total moment is 4.05 μB per cell. For the formation energy, the calculation gives 0.20 eV per atom.



No. 9
Material: Tm7Sc2
Method: DFT, PBE-GGA
State: relaxed

The space group is P-62m (No. 189) and the conventional cell measures 9.3544, 9.3544 and 3.4559 Å, with angles of 90.00, 90.00 and 120.00 degrees. The asymmetric unit holds Tm at (0.0000, 0.0000, 0.0000), Tm at (0.0000, 0.3667, 0.0000), Tm at (0.0000, 0.6924, 0.5000) and Sc at (0.3333, 0.6667, 0.5000).

The calculation puts the calculated volume at 29.1 Å³ per atom. The total moment is 2.15 μB per cell. For the formation energy, the calculation gives 0.04 eV per atom.



No. 10
Material: TmSc5
Method: DFT, PBE-GGA
State: relaxed

The space group is Cmmm (No. 65) and the conventional cell measures 5.2792, 16.3442 and 3.5548 Å, with angles of 90.00, 90.00 and 90.00 degrees. The asymmetric unit holds Tm at (0.0000, 0.0000, 0.0000), Sc at (0.0000, 0.1820, 0.5000), Sc at (0.0000, 0.3453, 0.0000) and Sc at (0.0000, 0.5000, 0.5000).

The calculation puts the calculated volume at 25.6 Å³ per atom. The total moment is 0.00 μB per cell. For the formation energy, the calculation gives 0.10 eV per atom.



No. 11
Material: Tm4Sc3
Method: DFT, PBE-GGA
State: relaxed

The space group is P6_3/m (No. 176) and the conventional cell measures 11.9651, 11.9651 and 3.4523 Å, with angles of 90.00, 90.00 and 120.00 degrees. The asymmetric unit holds Tm at (0.0921, 0.7683, 0.2500), Tm at (0.3333, 0.6667, 0.7500) and Sc at (0.0938, 0.4880, 0.2500).

The calculation puts the calculated volume at 30.6 Å³ per atom. As for the excess energy over the best structure of this formula in the dataset: 0.249 eV/atom. The total moment is 0.00 μB per cell. For the formation energy, the calculation gives 0.30 eV per atom.



No. 12
Material: Tm4Sc
Method: DFT, PBE-GGA
State: relaxed

The space group is Pm-3m (No. 221) and the conventional cell measures 5.4442, 5.4442 and 5.4442 Å, with angles of 90.00, 90.00 and 90.00 degrees. The asymmetric unit holds Tm at (0.0000, 0.0000, 0.0000), Tm at (0.0000, 0.5000, 0.5000) and Sc at (0.5000, 0.5000, 0.5000).

The calculation puts the calculated volume at 32.3 Å³ per atom. As for the excess energy over the best structure of this formula in the dataset: 0.589 eV/atom. The total moment is 0.46 μB per cell. For the formation energy, the calculation gives 0.63 eV per atom.